1.
GaIr2: optimized geometry, PBE-GGA.

The structure belongs to space group Pm (No. 6); the cell edges are 4.720, 2.812 and 6.729 Å and the angles 90.00°, 100.28° and 90.00°. The distinct sites, in fractional coordinates, are Ga at (0.000, 0.000, 0.000), Ga at (0.312, 0.500, 0.363), Ir at (0.053, 0.500, 0.684), Ir at (0.495, 0.500, 0.027), Ir at (0.547, 0.000, 0.677) and Ir at (0.819, 0.000, 0.336).

The formation energy is -191 meV per atom.



2.
TlAgS2: optimized geometry, PBE-GGA.

The structure belongs to space group Cmcm (No. 63); the cell edges are 2.853, 21.141 and 5.961 Å and the angles 90.00°, 90.00° and 90.00°. The distinct sites, in fractional coordinates, are Tl at (0.000, 0.065, 0.250), Ag at (0.000, 0.317, 0.250), S at (0.000, 0.080, 0.750) and S at (0.000, 0.201, 0.250).

For the total energy, the calculation gives -3.1132 eV/atom.